Material: Zr5GaBi2
Method: DFT, PBE
State: optimized geometry

The space group is Pbam (No. 55) and the conventional cell measures 6.2036, 11.9569 and 4.8714 Å, with angles of 90.00, 90.00 and 90.00 degrees. The inequivalent atoms are Zr at (0.0000, 0.0000, 0.0000), Zr at (0.1387, 0.2426, 0.0000), Zr at (0.1526, 0.6007, 0.5000), Ga at (0.0000, 0.5000, 0.0000) and Bi at (0.1410, 0.8561, 0.5000).

As for the formation energy from the elements: -0.322 eV/atom. The polymorph energy (0 for the lowest one) comes out at 0.0000 eV/atom. For the total magnetization, the calculation gives 0.00 μB per formula unit. The total energy comes out at -7.013 eV/atom.